{"formula": "CeDy2Pd", "functional": "PBE", "state": "optimized geometry", "sg": "R3m", "formation_enthalpy_0k_mev_per_atom": -229, "cell": [[3.668, 0.000, 0.000], [1.834, 3.177, 0.000], [1.834, 1.059, 9.711]], "species": ["Ce", "Dy", "Dy", "Pd"], "fractional_positions": [[0.501, 0.501, 0.498], [0.065, 0.065, 0.804], [0.268, 0.268, 0.197], [0.666, 0.666, 0.001]]}

***

{"formula": "CeDy2Pd", "functional": "PBE", "state": "optimized geometry", "sg": "Fm-3m", "formation_enthalpy_0k_mev_per_atom": -115, "cell": [[-2.217, 4.370, 1.490], [-5.076, 0.204, 0.650], [-1.965, 0.398, 4.711]], "species": ["Pd", "Ce", "Dy", "Dy"], "fractional_positions": [[0.000, 0.000, 0.000], [0.500, 0.500, 0.500], [0.250, 0.250, 0.250], [0.750, 0.750, 0.750]]}

***

{"formula": "CeDy3Pd12", "functional": "PBE", "state": "optimized geometry", "sg": "P4/mmm", "formation_enthalpy_0k_mev_per_atom": -882, "cell": [[4.129, 0.000, 0.000], [0.000, 4.129, 0.000], [0.000, 0.000, 16.487]], "species": ["Ce", "Dy", "Dy", "Dy", "Pd", "Pd", "Pd", "Pd", "Pd", "Pd", "Pd", "Pd", "Pd", "Pd", "Pd", "Pd"], "fractional_positions": [[0.000, 0.000, 0.000], [0.000, 0.000, 0.252], [0.000, 0.000, 0.500], [0.000, 0.000, 0.748], [0.500, 0.500, 0.000], [0.500, 0.500, 0.249], [0.500, 0.500, 0.500], [0.500, 0.500, 0.751], [0.500, 0.000, 0.123], [0.500, 0.000, 0.375], [0.500, 0.000, 0.625], [0.500, 0.000, 0.877], [0.000, 0.500, 0.123], [0.000, 0.500, 0.375], [0.000, 0.500, 0.625], [0.000, 0.500, 0.877]]}

***

{"formula": "CeDy2Pd", "functional": "PBE", "state": "optimized geometry", "sg": "P4/mmm", "formation_enthalpy_0k_mev_per_atom": -373, "cell": [[3.522, 0.000, 0.000], [0.000, 3.522, 0.000], [0.000, 0.000, 8.440]], "species": ["Pd", "Ce", "Dy", "Dy"], "fractional_positions": [[0.500, 0.500, 0.000], [0.500, 0.500, 0.500], [0.000, 0.000, 0.799], [0.000, 0.000, 0.201]]}

***

{"formula": "CeDyPdPt", "functional": "PBE", "state": "optimized geometry", "sg": "Amm2", "formation_enthalpy_0k_mev_per_atom": -1001, "cell": [[3.753, 0.000, 0.000], [0.000, 4.580, 0.000], [-1.877, 0.000, 5.327]], "species": ["Ce", "Dy", "Pd", "Pt"], "fractional_positions": [[0.863, 0.500, 0.726], [0.137, 0.000, 0.273], [0.410, 0.000, 0.820], [0.590, 0.500, 0.180]]}

***

{"formula": "CeDyPdPt", "functional": "PBE", "state": "optimized geometry", "sg": "F-43m", "formation_enthalpy_0k_mev_per_atom": -917, "cell": [[-3.420, -2.714, 2.453], [-2.681, -3.452, -2.445], [0.810, -4.867, 0.856]], "species": ["Pd", "Ce", "Pt", "Dy"], "fractional_positions": [[0.500, 0.500, 0.500], [0.750, 0.750, 0.750], [0.000, 0.000, 0.000], [0.250, 0.250, 0.250]]}

***

no.,DFT total energy (eV/atom)
1,-5.312
2,-5.197
3,-6.010
4,-5.456
5,-6.444
6,-6.359